Li5Ni9As7 | GGA-PBE | relaxed

Unit cell a=9.3805 b=9.3805 c=3.8181 alpha=90.00 beta=90.00 gamma=120.00
Space group P-6 (No. 174)
Asymmetric unit:
Li (0.0000, 0.0000, 0.0000) x1
Li (0.1191, 0.5546, 0.5000) x3
Li (0.6667, 0.3333, 0.5000) x1
Ni (0.1623, 0.7863, 0.0000) x3
Ni (0.2923, 0.2343, 0.5000) x3
Ni (0.3799, 0.0936, 0.0000) x3
As (0.0459, 0.2501, 0.5000) x3
As (0.3333, 0.6667, 0.0000) x1
As (0.4616, 0.3709, 0.0000) x3

Values from the calculation:
Spin magnetization, μB/f.u.: 0.00
Fermi-level density of states, states/eV per cell: 10.23
Energy of formation, eV/f.u.: -10.03

---

LiNi3As | GGA-PBE | relaxed

Unit cell a=4.6630 b=4.6630 c=15.3935 alpha=90.00 beta=90.00 gamma=90.00
Space group I-4m2 (No. 119)
Asymmetric unit:
Li (0.0000, 0.0000, 0.1328) x4
Ni (0.0000, 0.2547, 0.6244) x8
Ni (0.0000, 0.5000, 0.0246) x4
As (0.0000, 0.0000, 0.5000) x2
As (0.0000, 0.5000, 0.7500) x2

Values from the calculation:
Spin magnetization, μB/f.u.: 0.00
Fermi-level density of states, states/eV per cell: 22.73
Energy of formation, eV/f.u.: 0.58
Energy relative to the lowest polymorph listed for this composition, meV/atom: 335

---

LiNi3As | GGA-PBE | relaxed

Unit cell a=4.3677 b=4.3677 c=4.3677 alpha=90.00 beta=90.00 gamma=90.00
Space group Pm-3m (No. 221)
Asymmetric unit:
Li (0.0000, 0.0000, 0.0000) x1
Ni (0.0000, 0.5000, 0.5000) x3
As (0.5000, 0.5000, 0.5000) x1

Values from the calculation:
Spin magnetization, μB/f.u.: 0.00
Fermi-level density of states, states/eV per cell: 5.78
Energy of formation, eV/f.u.: 1.19
Energy relative to the lowest polymorph listed for this composition, meV/atom: 456

---

Li3NiAs | GGA-PBE | relaxed

Unit cell a=4.6810 b=4.6810 c=4.6810 alpha=90.00 beta=90.00 gamma=90.00
Space group Pm-3m (No. 221)
Asymmetric unit:
Li (0.0000, 0.0000, 0.5000) x3
Ni (0.5000, 0.5000, 0.5000) x1
As (0.0000, 0.0000, 0.0000) x1

Values from the calculation:
Spin magnetization, μB/f.u.: 0.95
Fermi-level density of states, states/eV per cell: 13.12
Energy of formation, eV/f.u.: 1.19
Energy relative to the lowest polymorph listed for this composition, meV/atom: 0

---

LiNi3As | GGA-PBE | relaxed

Unit cell a=4.4875 b=4.6201 c=6.5731 alpha=75.11 beta=75.27 gamma=65.19
Space group P-1 (No. 2)
Asymmetric unit:
Li (0.2290, 0.4595, 0.0894) x2
Ni (0.2117, 0.2112, 0.4899) x2
Ni (0.2697, 0.0305, 0.8786) x2
Ni (0.3196, 0.5957, 0.6658) x2
As (0.2240, 0.8905, 0.2562) x2

Values from the calculation:
Spin magnetization, μB/f.u.: 0.00
Fermi-level density of states, states/eV per cell: 7.27
Energy of formation, eV/f.u.: -1.09
Energy relative to the lowest polymorph listed for this composition, meV/atom: 0

---

LiNiAs | GGA-PBE | relaxed

Unit cell a=3.8776 b=10.5375 c=6.0958 alpha=90.00 beta=90.00 gamma=90.00
Space group Amm2 (No. 38)
Asymmetric unit:
Li (0.0000, 0.0000, 0.0000) x2
Li (0.0000, 0.2177, 0.6523) x4
Ni (0.5000, 0.0000, 0.6746) x2
Ni (0.5000, 0.1202, 0.3138) x4
As (0.0000, 0.0000, 0.4352) x2
As (0.5000, 0.1665, 0.9346) x4

Values from the calculation:
Spin magnetization, μB/f.u.: 0.00
Fermi-level density of states, states/eV per cell: 8.65
Energy of formation, eV/f.u.: -1.47

---

LiNi6As4 | GGA-PBE | relaxed

Unit cell a=6.9243 b=6.9243 c=3.5685 alpha=90.00 beta=90.00 gamma=120.00
Space group P-6m2 (No. 187)
Asymmetric unit:
Li (0.0000, 0.0000, 0.0000) x1
Ni (0.2014, 0.4029, 0.5000) x3
Ni (0.5381, 0.0763, 0.0000) x3
As (0.3333, 0.6667, 0.0000) x1
As (0.3580, 0.1790, 0.5000) x3

Values from the calculation:
Spin magnetization, μB/f.u.: 0.00
Fermi-level density of states, states/eV per cell: 8.40
Energy of formation, eV/f.u.: -3.73

---

Li3Ni11As7 | GGA-PBE | relaxed

Unit cell a=9.3474 b=3.7333 c=9.3615 alpha=90.00 beta=119.48 gamma=90.00
Space group Pm (No. 6)
Asymmetric unit:
Li (0.0000, 0.0000, 0.0000) x1
Li (0.2382, 0.0000, 0.4456) x1
Li (0.6804, 0.5000, 0.3359) x1
Ni (0.0599, 0.5000, 0.5048) x1
Ni (0.2211, 0.0000, 0.7598) x1
Ni (0.2887, 0.5000, 0.2333) x1
Ni (0.3795, 0.0000, 0.0906) x1
Ni (0.4587, 0.5000, 0.9519) x1
Ni (0.5006, 0.5000, 0.5430) x1
Ni (0.5499, 0.0000, 0.7863) x1
Ni (0.7219, 0.0000, 0.6194) x1
Ni (0.7670, 0.5000, 0.0429) x1
Ni (0.9084, 0.0000, 0.2813) x1
Ni (0.9567, 0.5000, 0.7174) x1
As (0.0422, 0.5000, 0.2423) x1
As (0.2074, 0.5000, 0.9539) x1
As (0.3427, 0.5000, 0.6729) x1
As (0.4664, 0.0000, 0.3696) x1
As (0.6306, 0.0000, 0.0808) x1
As (0.7521, 0.5000, 0.7909) x1
As (0.9282, 0.0000, 0.5459) x1

Values from the calculation:
Spin magnetization, μB/f.u.: 0.00
Fermi-level density of states, states/eV per cell: 10.19
Energy of formation, eV/f.u.: -8.50